Entry from Alexandria: an optimized crystal structure of LaTm6 (PBE-GGA).

a = 7.0395 Å, b = 7.0395 Å, c = 7.0395 Å
α = 109.47°, β = 109.47°, γ = 109.47°
With the nearest neighbours (Å) after each atom.
Fractional coordinates of all 7 atoms:
La 0.0000 0.0000 0.0000  24 Tm 4.54
Tm 0.2500 0.5000 0.7500  4 Tm 2.87
Tm 0.2500 0.7500 0.5000  4 Tm 2.87
Tm 0.5000 0.2500 0.7500  4 Tm 2.87
Tm 0.5000 0.7500 0.2500  4 Tm 2.87
Tm 0.7500 0.2500 0.5000  4 Tm 2.87
Tm 0.7500 0.5000 0.2500  4 Tm 2.87

Results
Total DFT energy (no corrections) (eV per atom): -3.1159
Energy of formation from the pure elements (eV/atom): 1.421
Symmetry: Im-3m
Fermi-level density of states (states/eV/cell): 12.8